1.
# SiAsSe2S | the Alexandria database | GGA-PBEsol | relaxed
data_SiAsSe2S
_chemical_formula_sum 'Si1 As1 Se2 S1'
_space_group_name_H-M_alt 'P 4/m m m'
_space_group_IT_number 123
_space_group_name_Hall '-P 4 2'
_cell_length_a 4.7969
_cell_length_b 4.7969
_cell_length_c 4.6750
_cell_angle_alpha 90.00
_cell_angle_beta 90.00
_cell_angle_gamma 90.00
loop_
_atom_site_label
_atom_site_type_symbol
_atom_site_fract_x
_atom_site_fract_y
_atom_site_fract_z
Si1 Si 0.0000 0.0000 0.0000
As1 As 0.5000 0.5000 0.0000
Se1 Se 0.0000 0.5000 0.5000
S1 S 0.5000 0.5000 0.5000
# Total magnetic moment, Bohr magnetons per cell: 0.0
# Electronic total energy, eV per atom: -3.8486



2.
# SrAs2SeS | the Alexandria database | GGA-PBEsol | relaxed
data_SrAs2SeS
_chemical_formula_sum 'Sr1 As2 Se1 S1'
_space_group_name_H-M_alt 'P 4/m m m'
_space_group_IT_number 123
_space_group_name_Hall '-P 4 2'
_cell_length_a 5.6219
_cell_length_b 5.6219
_cell_length_c 5.4876
_cell_angle_alpha 90.00
_cell_angle_beta 90.00
_cell_angle_gamma 90.00
loop_
_atom_site_label
_atom_site_type_symbol
_atom_site_fract_x
_atom_site_fract_y
_atom_site_fract_z
Sr1 Sr 0.0000 0.0000 0.0000
As1 As 0.0000 0.5000 0.0000
Se1 Se 0.0000 0.0000 0.5000
S1 S 0.5000 0.5000 0.5000
# Total magnetic moment, Bohr magnetons per cell: 1.5
# Electronic total energy, eV per atom: -2.8255



3.
# TcAsSe2S | the Alexandria database | GGA-PBEsol | relaxed
data_TcAsSe2S
_chemical_formula_sum 'Tc1 As1 Se2 S1'
_space_group_name_H-M_alt 'P 4/m m m'
_space_group_IT_number 123
_space_group_name_Hall '-P 4 2'
_cell_length_a 4.7321
_cell_length_b 4.7321
_cell_length_c 4.6371
_cell_angle_alpha 90.00
_cell_angle_beta 90.00
_cell_angle_gamma 90.00
loop_
_atom_site_label
_atom_site_type_symbol
_atom_site_fract_x
_atom_site_fract_y
_atom_site_fract_z
Tc1 Tc 0.0000 0.0000 0.0000
As1 As 0.5000 0.5000 0.0000
Se1 Se 0.0000 0.5000 0.5000
S1 S 0.5000 0.5000 0.5000
# Total magnetic moment, Bohr magnetons per cell: 3.2
# Electronic total energy, eV per atom: -4.5525



4.
# As2WSeS | the Alexandria database | GGA-PBEsol | relaxed
data_As2WSeS
_chemical_formula_sum 'As2 W1 Se1 S1'
_space_group_name_H-M_alt 'P 4/m m m'
_space_group_IT_number 123
_space_group_name_Hall '-P 4 2'
_cell_length_a 4.5514
_cell_length_b 4.5514
_cell_length_c 4.6847
_cell_angle_alpha 90.00
_cell_angle_beta 90.00
_cell_angle_gamma 90.00
loop_
_atom_site_label
_atom_site_type_symbol
_atom_site_fract_x
_atom_site_fract_y
_atom_site_fract_z
As1 As 0.0000 0.5000 0.0000
W1 W 0.0000 0.0000 0.5000
Se1 Se 0.5000 0.5000 0.5000
S1 S 0.5000 0.5000 0.0000
# Total magnetic moment, Bohr magnetons per cell: 2.2
# Electronic total energy, eV per atom: -5.1587



5.
# SiSn2AsS | the Alexandria database | GGA-PBEsol | relaxed
data_SiSn2AsS
_chemical_formula_sum 'Si1 Sn2 As1 S1'
_space_group_name_H-M_alt 'P 4/m m m'
_space_group_IT_number 123
_space_group_name_Hall '-P 4 2'
_cell_length_a 5.2849
_cell_length_b 5.2849
_cell_length_c 4.4573
_cell_angle_alpha 90.00
_cell_angle_beta 90.00
_cell_angle_gamma 90.00
loop_
_atom_site_label
_atom_site_type_symbol
_atom_site_fract_x
_atom_site_fract_y
_atom_site_fract_z
Si1 Si 0.0000 0.0000 0.0000
Sn1 Sn 0.0000 0.5000 0.0000
As1 As 0.0000 0.0000 0.5000
S1 S 0.5000 0.5000 0.5000
# Total magnetic moment, Bohr magnetons per cell: 0.0
# Electronic total energy, eV per atom: -4.2264



6.
# SnAsS2 | the Alexandria database | GGA-PBEsol | relaxed
data_SnAsS2
_chemical_formula_sum 'Sn4 As4 S8'
_space_group_name_H-M_alt 'F m -3 m'
_space_group_IT_number 225
_space_group_name_Hall '-F 4 2 3'
_cell_length_a 6.6610
_cell_length_b 6.6610
_cell_length_c 6.6610
_cell_angle_alpha 90.00
_cell_angle_beta 90.00
_cell_angle_gamma 90.00
loop_
_atom_site_label
_atom_site_type_symbol
_atom_site_fract_x
_atom_site_fract_y
_atom_site_fract_z
Sn1 Sn 0.0000 0.0000 0.0000
As1 As 0.0000 0.0000 0.5000
S1 S 0.2500 0.2500 0.2500
# Total magnetic moment, Bohr magnetons per cell: 0.0
# Electronic total energy, eV per atom: -4.4224



7.
# Sn2AsS | the Alexandria database | GGA-PBEsol | relaxed
data_Sn2AsS
_chemical_formula_sum 'Sn8 As4 S4'
_space_group_name_H-M_alt 'F m -3 m'
_space_group_IT_number 225
_space_group_name_Hall '-F 4 2 3'
_cell_length_a 6.9396
_cell_length_b 6.9396
_cell_length_c 6.9396
_cell_angle_alpha 90.00
_cell_angle_beta 90.00
_cell_angle_gamma 90.00
loop_
_atom_site_label
_atom_site_type_symbol
_atom_site_fract_x
_atom_site_fract_y
_atom_site_fract_z
Sn1 Sn 0.2500 0.2500 0.2500
As1 As 0.0000 0.0000 0.0000
S1 S 0.0000 0.0000 0.5000
# Total magnetic moment, Bohr magnetons per cell: 0.0
# Electronic total energy, eV per atom: -4.5188



8.
# SnAsW2S | the Alexandria database | GGA-PBEsol | relaxed
data_SnAsW2S
_chemical_formula_sum 'Sn1 As1 W2 S1'
_space_group_name_H-M_alt 'P 4/m m m'
_space_group_IT_number 123
_space_group_name_Hall '-P 4 2'
_cell_length_a 5.0144
_cell_length_b 5.0144
_cell_length_c 4.8745
_cell_angle_alpha 90.00
_cell_angle_beta 90.00
_cell_angle_gamma 90.00
loop_
_atom_site_label
_atom_site_type_symbol
_atom_site_fract_x
_atom_site_fract_y
_atom_site_fract_z
Sn1 Sn 0.0000 0.0000 0.0000
As1 As 0.0000 0.0000 0.5000
W1 W 0.0000 0.5000 0.0000
S1 S 0.5000 0.5000 0.5000
# Total magnetic moment, Bohr magnetons per cell: 2.5
# Electronic total energy, eV per atom: -5.5854



9.
# SrAs3S | the Alexandria database | GGA-PBEsol | relaxed
data_SrAs3S
_chemical_formula_sum 'Sr1 As3 S1'
_space_group_name_H-M_alt 'P m -3 m'
_space_group_IT_number 221
_space_group_name_Hall '-P 4 2 3'
_cell_length_a 4.8756
_cell_length_b 4.8756
_cell_length_c 4.8756
_cell_angle_alpha 90.00
_cell_angle_beta 90.00
_cell_angle_gamma 90.00
loop_
_atom_site_label
_atom_site_type_symbol
_atom_site_fract_x
_atom_site_fract_y
_atom_site_fract_z
Sr1 Sr 0.0000 0.0000 0.0000
As1 As 0.0000 0.5000 0.5000
S1 S 0.5000 0.5000 0.5000
# Total magnetic moment, Bohr magnetons per cell: 0.0
# Electronic total energy, eV per atom: -4.3683



10.
# TeAs3S | the Alexandria database | GGA-PBEsol | relaxed
data_TeAs3S
_chemical_formula_sum 'Te1 As3 S1'
_space_group_name_H-M_alt 'P m -3 m'
_space_group_IT_number 221
_space_group_name_Hall '-P 4 2 3'
_cell_length_a 5.1989
_cell_length_b 5.1989
_cell_length_c 5.1989
_cell_angle_alpha 90.00
_cell_angle_beta 90.00
_cell_angle_gamma 90.00
loop_
_atom_site_label
_atom_site_type_symbol
_atom_site_fract_x
_atom_site_fract_y
_atom_site_fract_z
Te1 Te 0.0000 0.0000 0.0000
As1 As 0.0000 0.0000 0.5000
S1 S 0.5000 0.5000 0.5000
# Total magnetic moment, Bohr magnetons per cell: 0.0
# Electronic total energy, eV per atom: -3.2501



11.
# ThAsS | the Alexandria database | GGA-PBEsol | relaxed
data_ThAsS
_chemical_formula_sum 'Th2 As2 S2'
_space_group_name_H-M_alt 'P 4/n m m'
_space_group_IT_number 129
_cell_length_a 3.9744
_cell_length_b 3.9744
_cell_length_c 8.2436
_cell_angle_alpha 90.00
_cell_angle_beta 90.00
_cell_angle_gamma 90.00
loop_
_space_group_symop_operation_xyz
'x,y,z'
'-x,-y,-z'
'-y+1/2,x,z'
'y+1/2,-x,-z'
'-x+1/2,-y+1/2,z'
'x+1/2,y+1/2,-z'
'y,-x+1/2,z'
'-y,x+1/2,-z'
'x+1/2,-y,-z'
'-x+1/2,y,z'
'-y,-x,-z'
'y,x,z'
'-x,y+1/2,-z'
'x,-y+1/2,z'
'y+1/2,x+1/2,-z'
'-y+1/2,-x+1/2,z'
loop_
_atom_site_label
_atom_site_type_symbol
_atom_site_fract_x
_atom_site_fract_y
_atom_site_fract_z
Th1 Th 0.2500 0.2500 0.2178
As1 As 0.2500 0.7500 0.5000
S1 S 0.2500 0.2500 0.8653
# Total magnetic moment, Bohr magnetons per cell: 0.0
# Electronic total energy, eV per atom: -7.4725



12.
# TiAs2S | the Alexandria database | GGA-PBEsol | relaxed
data_TiAs2S
_chemical_formula_sum 'Ti4 As8 S4'
_space_group_name_H-M_alt 'I -4 2 d'
_space_group_IT_number 122
_space_group_name_Hall 'I -4 2bw'
_cell_length_a 5.6045
_cell_length_b 5.6045
_cell_length_c 11.9945
_cell_angle_alpha 90.00
_cell_angle_beta 90.00
_cell_angle_gamma 90.00
loop_
_atom_site_label
_atom_site_type_symbol
_atom_site_fract_x
_atom_site_fract_y
_atom_site_fract_z
Ti1 Ti 0.0000 0.0000 0.0000
As1 As 0.2427 0.2500 0.1250
S1 S 0.0000 0.0000 0.5000
# Total magnetic moment, Bohr magnetons per cell: 0.0
# Electronic total energy, eV per atom: -5.4970